# 1
Below is crystalline MgVPd4 at its relaxed geometry, with properties calculated at the PBE-GGA level.

Cell and atoms, written as POSCAR:
```
MgVPd4
1.0
6.682 0.169 0.000
-0.142 5.614 0.000
0.000 0.000 5.616
Mg Pd V
2 8 2
Cartesian
-0.035 1.404 4.215
-0.106 4.211 1.401
4.747 5.738 5.616
4.751 5.738 2.808
4.818 2.931 0.000
1.718 2.852 2.808
1.722 2.852 5.616
1.789 0.045 2.808
4.822 2.931 2.808
1.793 0.045 0.000
3.235 4.295 4.209
3.305 1.488 1.407
```

- Energy above the lowest structure with this stoichiometry: 1.43 eV/f.u.

---

# 2
Below is crystalline MgVPd2 at its relaxed geometry, with properties calculated at the PBE-GGA level.

Cell and atoms, written as POSCAR:
```
MgVPd2
1.0
2.928 0.000 0.000
0.000 4.610 0.000
0.000 0.000 4.610
V Pd Mg
1 2 1
Cartesian
1.464 2.305 2.305
0.000 2.305 0.000
0.000 0.000 2.305
1.464 0.000 0.000
```

---

# 3
Below is crystalline MgV2Pd at its relaxed geometry, with properties calculated at the PBE-GGA level.

Cell and atoms, written as POSCAR:
```
MgV2Pd
1.0
7.312 0.000 0.000
0.000 7.312 0.000
3.656 3.656 2.481
Pd V Mg
2 4 2
Cartesian
7.312 3.656 1.241
0.000 0.000 0.000
1.608 5.484 0.620
5.484 5.264 1.861
5.704 1.828 0.620
9.140 9.360 1.861
3.656 7.312 1.241
3.656 3.656 0.000
```

---

# 4
Below is crystalline MgVPd2 at its relaxed geometry, with properties calculated at the PBE-GGA level.

Cell and atoms, written as POSCAR:
```
MgVPd2
1.0
-6.445 2.553 0.826
-2.675 -5.939 -2.513
-4.648 -2.758 1.766
Mg V Pd
2 2 4
Cartesian
-4.560 -1.693 -0.844
-5.941 -5.195 -0.795
-7.826 -0.948 0.874
0.000 0.000 0.000
-11.505 -5.118 -0.189
-5.619 0.202 0.656
-3.545 -4.120 -1.038
-6.867 -3.251 0.729
```

---

Sequential D(E_F) output: 0.358; 1.013; 0.969; 1.294 states/eV/atom
Sequential energy relative to the elements output: -0.714; -1.371; 1.862; 0.240 eV/f.u.
Sequential electronic total energy output: -64.398; -22.470; -46.326; -41.718 eV for the cell shown